[1]
This record from Alexandria describes crystalline BaFe2W at its relaxed geometry. The functional is PBE-GGA.

Structure (CIF):
```
data_BaFe2W
_chemical_formula_sum 'Ba1 Fe2 W1'
_cell_length_a 6.451
_cell_length_b 6.451
_cell_length_c 6.451
_cell_angle_alpha 38.16
_cell_angle_beta 38.16
_cell_angle_gamma 38.16
_symmetry_space_group_name_H-M 'P 1'
_symmetry_Int_Tables_number 1
loop_
_symmetry_equiv_pos_as_xyz
'x,y,z'
loop_
_atom_site_label
_atom_site_type_symbol
_atom_site_fract_x
_atom_site_fract_y
_atom_site_fract_z
Ba1 Ba 0.000 0.000 0.000
Fe1 Fe 0.190 0.190 0.190
Fe2 Fe 0.810 0.810 0.810
W1 W 0.500 0.500 0.500
```

Calculated values
- Fermi-level density of states (states/eV per atom) = 1.480
- ΔE_f (meV per atom) = 578
- space-group type = R-3m (166)


[2]
This record from Alexandria describes crystalline BaFeW2 at its relaxed geometry. The functional is PBE-GGA.

Structure (CIF):
```
data_BaFeW2
_chemical_formula_sum 'Ba1 Fe1 W2'
_cell_length_a 5.972
_cell_length_b 5.972
_cell_length_c 5.972
_cell_angle_alpha 150.49
_cell_angle_beta 122.07
_cell_angle_gamma 66.35
_symmetry_space_group_name_H-M 'P 1'
_symmetry_Int_Tables_number 1
loop_
_symmetry_equiv_pos_as_xyz
'x,y,z'
loop_
_atom_site_label
_atom_site_type_symbol
_atom_site_fract_x
_atom_site_fract_y
_atom_site_fract_z
Ba1 Ba 0.000 0.000 0.000
Fe1 Fe 0.290 0.790 0.500
W1 W 0.497 0.497 0.000
W2 W 0.699 0.199 0.500
```

Calculated values
- Fermi-level density of states (states/eV per atom) = 1.348
- ΔE_f (meV per atom) = 1393
- space-group type = Imm2 (44)


[3]
This record from Alexandria describes crystalline BaFeW2 at its relaxed geometry. The functional is PBE-GGA.

Structure (CIF):
```
data_BaFeW2
_chemical_formula_sum 'Ba1 Fe1 W2'
_cell_length_a 4.781
_cell_length_b 4.781
_cell_length_c 3.232
_cell_angle_alpha 90.00
_cell_angle_beta 90.00
_cell_angle_gamma 90.00
_symmetry_space_group_name_H-M 'P 1'
_symmetry_Int_Tables_number 1
loop_
_symmetry_equiv_pos_as_xyz
'x,y,z'
loop_
_atom_site_label
_atom_site_type_symbol
_atom_site_fract_x
_atom_site_fract_y
_atom_site_fract_z
Ba1 Ba 0.000 0.000 0.000
Fe1 Fe 0.500 0.500 0.000
W1 W 0.000 0.500 0.500
W2 W 0.500 0.000 0.500
```

Calculated values
- Fermi-level density of states (states/eV per atom) = 1.198
- ΔE_f (meV per atom) = 1844
- space-group type = P4/mmm (123)


[4]
This record from Alexandria describes crystalline BaFeW2 at its relaxed geometry. The functional is PBE-GGA.

Structure (CIF):
```
data_BaFeW2
_chemical_formula_sum 'Ba2 Fe2 W4'
_cell_length_a 8.873
_cell_length_b 8.873
_cell_length_c 8.873
_cell_angle_alpha 146.55
_cell_angle_beta 146.55
_cell_angle_gamma 48.03
_symmetry_space_group_name_H-M 'P 1'
_symmetry_Int_Tables_number 1
loop_
_symmetry_equiv_pos_as_xyz
'x,y,z'
loop_
_atom_site_label
_atom_site_type_symbol
_atom_site_fract_x
_atom_site_fract_y
_atom_site_fract_z
Ba1 Ba 0.375 0.625 0.750
Ba2 Ba 0.625 0.375 0.250
Fe1 Fe 0.125 0.875 0.250
Fe2 Fe 0.875 0.125 0.750
W1 W 0.000 0.000 0.000
W2 W 0.000 0.000 0.500
W3 W 0.000 0.500 0.000
W4 W 0.500 0.000 0.500
```

Calculated values
- Fermi-level density of states (states/eV per atom) = 1.852
- ΔE_f (meV per atom) = 1443
- space-group type = I4_1/amd (141)


[5]
This record from Alexandria describes crystalline Ba4FeW at its relaxed geometry. The functional is PBE-GGA.

Structure (CIF):
```
data_Ba4FeW
_chemical_formula_sum 'Ba4 Fe1 W1'
_cell_length_a 6.993
_cell_length_b 6.993
_cell_length_c 6.993
_cell_angle_alpha 60.00
_cell_angle_beta 60.00
_cell_angle_gamma 60.00
_symmetry_space_group_name_H-M 'P 1'
_symmetry_Int_Tables_number 1
loop_
_symmetry_equiv_pos_as_xyz
'x,y,z'
loop_
_atom_site_label
_atom_site_type_symbol
_atom_site_fract_x
_atom_site_fract_y
_atom_site_fract_z
Ba1 Ba 0.125 0.125 0.125
Ba2 Ba 0.125 0.125 0.624
Ba3 Ba 0.125 0.624 0.125
Ba4 Ba 0.624 0.125 0.125
Fe1 Fe 0.750 0.750 0.750
W1 W 0.500 0.500 0.500
```

Calculated values
- Fermi-level density of states (states/eV per atom) = 1.837
- ΔE_f (meV per atom) = 1686
- space-group type = F-43m (216)


[6]
This record from Alexandria describes crystalline BaFeW2 at its relaxed geometry. The functional is PBE-GGA.

Structure (CIF):
```
data_BaFeW2
_chemical_formula_sum 'Ba1 Fe1 W2'
_cell_length_a 5.961
_cell_length_b 5.961
_cell_length_c 2.862
_cell_angle_alpha 99.55
_cell_angle_beta 99.55
_cell_angle_gamma 124.86
_symmetry_space_group_name_H-M 'P 1'
_symmetry_Int_Tables_number 1
loop_
_symmetry_equiv_pos_as_xyz
'x,y,z'
loop_
_atom_site_label
_atom_site_type_symbol
_atom_site_fract_x
_atom_site_fract_y
_atom_site_fract_z
Ba1 Ba 0.000 0.000 0.000
Fe1 Fe 0.500 0.500 0.000
W1 W 0.000 0.500 0.500
W2 W 0.500 0.000 0.500
```

Calculated values
- Fermi-level density of states (states/eV per atom) = 1.119
- ΔE_f (meV per atom) = 1454
- space-group type = C2/m (12)


[7]
This record from Alexandria describes crystalline BaFe2W at its relaxed geometry. The functional is PBE-GGA.

Structure (CIF):
```
data_BaFe2W
_chemical_formula_sum 'Ba1 Fe2 W1'
_cell_length_a 4.719
_cell_length_b 4.719
_cell_length_c 4.719
_cell_angle_alpha 60.00
_cell_angle_beta 60.00
_cell_angle_gamma 60.00
_symmetry_space_group_name_H-M 'P 1'
_symmetry_Int_Tables_number 1
loop_
_symmetry_equiv_pos_as_xyz
'x,y,z'
loop_
_atom_site_label
_atom_site_type_symbol
_atom_site_fract_x
_atom_site_fract_y
_atom_site_fract_z
Ba1 Ba 0.000 0.000 0.000
Fe1 Fe 0.250 0.250 0.250
Fe2 Fe 0.750 0.750 0.750
W1 W 0.500 0.500 0.500
```

Calculated values
- Fermi-level density of states (states/eV per atom) = 1.542
- ΔE_f (meV per atom) = 1353
- space-group type = Fm-3m (225)


[8]
This record from Alexandria describes crystalline BaFeW2 at its relaxed geometry. The functional is PBE-GGA.

Structure (CIF):
```
data_BaFeW2
_chemical_formula_sum 'Ba1 Fe1 W2'
_cell_length_a 6.178
_cell_length_b 6.178
_cell_length_c 6.178
_cell_angle_alpha 153.42
_cell_angle_beta 131.35
_cell_angle_gamma 56.29
_symmetry_space_group_name_H-M 'P 1'
_symmetry_Int_Tables_number 1
loop_
_symmetry_equiv_pos_as_xyz
'x,y,z'
loop_
_atom_site_label
_atom_site_type_symbol
_atom_site_fract_x
_atom_site_fract_y
_atom_site_fract_z
Ba1 Ba 0.000 0.000 0.000
Fe1 Fe 0.500 0.500 0.000
W1 W 0.294 0.794 0.500
W2 W 0.706 0.206 0.500
```

Calculated values
- Fermi-level density of states (states/eV per atom) = 1.403
- ΔE_f (meV per atom) = 1180
- space-group type = Immm (71)


[9]
This record from Alexandria describes crystalline BaFe2W at its relaxed geometry. The functional is PBE-GGA.

Structure (CIF):
```
data_BaFe2W
_chemical_formula_sum 'Ba1 Fe2 W1'
_cell_length_a 5.555
_cell_length_b 5.555
_cell_length_c 5.555
_cell_angle_alpha 138.42
_cell_angle_beta 138.42
_cell_angle_gamma 60.26
_symmetry_space_group_name_H-M 'P 1'
_symmetry_Int_Tables_number 1
loop_
_symmetry_equiv_pos_as_xyz
'x,y,z'
loop_
_atom_site_label
_atom_site_type_symbol
_atom_site_fract_x
_atom_site_fract_y
_atom_site_fract_z
Ba1 Ba 0.000 0.000 0.000
Fe1 Fe 0.250 0.750 0.500
Fe2 Fe 0.500 0.500 0.000
W1 W 0.750 0.250 0.500
```

Calculated values
- Fermi-level density of states (states/eV per atom) = 1.821
- ΔE_f (meV per atom) = 1535
- space-group type = I-4m2 (119)


[10]
This record from Alexandria describes crystalline BaFe2W at its relaxed geometry. The functional is PBE-GGA.

Structure (CIF):
```
data_BaFe2W
_chemical_formula_sum 'Ba1 Fe2 W1'
_cell_length_a 3.180
_cell_length_b 3.180
_cell_length_c 7.756
_cell_angle_alpha 90.00
_cell_angle_beta 90.00
_cell_angle_gamma 90.00
_symmetry_space_group_name_H-M 'P 1'
_symmetry_Int_Tables_number 1
loop_
_symmetry_equiv_pos_as_xyz
'x,y,z'
loop_
_atom_site_label
_atom_site_type_symbol
_atom_site_fract_x
_atom_site_fract_y
_atom_site_fract_z
Ba1 Ba 0.000 0.000 0.000
Fe1 Fe 0.000 0.000 0.487
Fe2 Fe 0.500 0.500 0.338
W1 W 0.500 0.500 0.645
```

Calculated values
- Fermi-level density of states (states/eV per atom) = 1.217
- ΔE_f (meV per atom) = 753
- space-group type = P4mm (99)


[11]
This record from Alexandria describes crystalline BaFeW at its relaxed geometry. The functional is PBE-GGA.

Structure (CIF):
```
data_BaFeW
_chemical_formula_sum 'Ba1 Fe1 W1'
_cell_length_a 3.987
_cell_length_b 3.987
_cell_length_c 5.453
_cell_angle_alpha 90.00
_cell_angle_beta 90.00
_cell_angle_gamma 120.00
_symmetry_space_group_name_H-M 'P 1'
_symmetry_Int_Tables_number 1
loop_
_symmetry_equiv_pos_as_xyz
'x,y,z'
loop_
_atom_site_label
_atom_site_type_symbol
_atom_site_fract_x
_atom_site_fract_y
_atom_site_fract_z
Ba1 Ba 0.000 0.000 0.000
Fe1 Fe 0.667 0.333 0.531
W1 W 0.333 0.667 0.487
```

Calculated values
- Fermi-level density of states (states/eV per atom) = 1.027
- ΔE_f (meV per atom) = 897
- space-group type = P3m1 (156)


[12]
This record from Alexandria describes crystalline Ba2Fe2W at its relaxed geometry. The functional is PBE-GGA.

Structure (CIF):
```
data_Ba2Fe2W
_chemical_formula_sum 'Ba4 Fe4 W2'
_cell_length_a 6.409
_cell_length_b 6.409
_cell_length_c 5.577
_cell_angle_alpha 90.00
_cell_angle_beta 90.00
_cell_angle_gamma 90.00
_symmetry_space_group_name_H-M 'P 1'
_symmetry_Int_Tables_number 1
loop_
_symmetry_equiv_pos_as_xyz
'x,y,z'
loop_
_atom_site_label
_atom_site_type_symbol
_atom_site_fract_x
_atom_site_fract_y
_atom_site_fract_z
Ba1 Ba 0.183 0.317 0.000
Ba2 Ba 0.317 0.817 0.000
Ba3 Ba 0.683 0.183 0.000
Ba4 Ba 0.817 0.683 0.000
Fe1 Fe 0.127 0.627 0.500
Fe2 Fe 0.373 0.127 0.500
Fe3 Fe 0.627 0.873 0.500
Fe4 Fe 0.873 0.373 0.500
W1 W 0.000 0.000 0.500
W2 W 0.500 0.500 0.500
```

Calculated values
- Fermi-level density of states (states/eV per atom) = 0.886
- ΔE_f (meV per atom) = 941
- space-group type = P4/mbm (127)